VASP calculation (PBE) on Y2ScP after structural relaxation.

Properties
DFT formation energy in eV per atom: -0.577
Size of the total moment in Bohr magnetons per cell: 0.089

a = 3.5499 Å, b = 3.5499 Å, c = 7.7126 Å
α = 90.00°, β = 90.00°, γ = 90.00°
Closest atoms and distances in Å follow each position.
Fractional positions:
P (0.0000, 0.0000, 0.5440)  4 Sc 2.73
Y (0.0000, 0.0000, 0.9708)  1 P 3.29, 4 Sc 3.35, 8 Y 3.55-3.58
Sc (0.5000, 0.5000, 0.6831)  4 P 2.73, 1 Y 2.94
Y (0.5000, 0.5000, 0.3021)  1 Sc 2.94, 4 P 3.13